Compound: Ti4Ir2Pd
Source: the Alexandria database
Functional: GGA-PBE
Structure: relaxed

POSCAR file:
```
Ti4Ir2Pd
1.0
-1.738 2.366 3.262
-1.765 -2.023 3.472
5.029 0.231 5.453
Ti Pd Ir
4 1 2
Cartesian
-1.401 0.247 4.973 Ti
2.598 0.185 4.194 Ti
2.927 0.328 7.214 Ti
-1.072 0.389 7.993 Ti
0.000 0.000 0.000 Pd
0.328 0.142 3.017 Ir
1.199 0.432 9.170 Ir
```

Values from the calculation:
Formation enthalpy at 0 K   -4.328 eV/f.u.
Calculated volume   116.5 Å³ per cell
Symmetry   C2/m, No. 12
Final energy   -8.4032 eV/atom